1.
Compound: Nd2SmYSe4
Source: Alexandria via LeMat-Bulk
Functional: PBE
Structure: optimized geometry

Computed properties:
- Volume: 25.84 Å³ per atom
- Calculated density: 6.8 g cm⁻³
- Formation energy (no corrections): -1.814 eV/atom

abc: 4.1237 7.3177 7.2354
angles: 71.21 90.00 90.00
Last column: nearest neighbours and their distance in Å.
Positions (direct):
Nd: 0.0000 0.0000 0.0000  6 Se 3.01
Nd: 0.5000 0.0000 0.5000  6 Se 2.98
Sm: 0.5000 0.5000 0.0000  6 Se 2.93-2.94
Y: 0.0000 0.5000 0.5000  6 Se 2.90
Se: 0.0000 0.7419 0.7490  1 Y 2.90, 2 Sm 2.93, 3 Nd 2.98-3.01
Se: 0.0000 0.2581 0.2510  1 Y 2.90, 2 Sm 2.93, 3 Nd 2.98-3.01
Se: 0.5000 0.7393 0.2574  2 Y 2.90, 1 Sm 2.94, 3 Nd 2.98-3.01
Se: 0.5000 0.2607 0.7426  2 Y 2.90, 1 Sm 2.94, 3 Nd 2.98-3.01


2.
Compound: HoMgBr4
Source: Alexandria via LeMat-Bulk
Functional: PBE
Structure: optimized geometry

Computed properties:
- Volume: 33.07 Å³ per atom
- Calculated density: 4.3 g cm⁻³
- Formation energy (no corrections): -1.479 eV/atom

abc: 3.7433 7.5812 7.2591
angles: 105.62 90.00 90.00
Last column: nearest neighbours and their distance in Å.
Positions (direct):
Ho: 0.5000 0.5000 0.0000  6 Br 2.87-2.90
Mg: 0.0000 0.5000 0.5000  6 Br 2.69-2.73
Br: 0.0000 0.2722 0.7338  1 Mg 2.73, 2 Ho 2.90
Br: 0.0000 0.7278 0.2662  1 Mg 2.73, 2 Ho 2.90
Br: 0.5000 0.2925 0.2770  2 Mg 2.69, 1 Ho 2.87
Br: 0.5000 0.7075 0.7230  2 Mg 2.69, 1 Ho 2.87